# Np2ScFe9 GGA-PBE optimized geometry
# * DFT formation energy: -0.04 eV per atom
# * electronic total energy: -9.070 eV per atom
# * volume: 14.03 A^3/atom
data_Np2ScFe9
_chemical_formula_sum 'Np6 Sc3 Fe27'
_cell_length_a 4.8562
_cell_length_b 4.8562
_cell_length_c 24.7315
_cell_angle_alpha 90.00
_cell_angle_beta 90.00
_cell_angle_gamma 120.00
_space_group_name_H-M_alt 'R -3 m'
_space_group_IT_number 166
_space_group_name_Hall '-R 3 2"'
loop_
_atom_site_label
_atom_site_fract_x
_atom_site_fract_y
_atom_site_fract_z
Np1 0.0000 0.0000 0.1463
Sc1 0.0000 0.0000 0.0000
Fe1 0.0000 0.0000 0.3330
Fe2 0.0000 0.0000 0.5000
Fe3 0.0012 0.5006 0.0809